# Zn2Cr2O | Alexandria | PBE with a Hubbard U | optimized geometry
data_Zn2Cr2O
_chemical_formula_sum 'Zn4 Cr4 O2'
_cell_length_a 5.8318
_cell_length_b 5.8318
_cell_length_c 4.6386
_cell_angle_alpha 90.00
_cell_angle_beta 90.00
_cell_angle_gamma 90.00
_symmetry_space_group_name_H-M 'P 4/m b m'
_symmetry_Int_Tables_number 127
_symmetry_space_group_name_Hall '-P 4 2ab'
loop_
_atom_site_label
_atom_site_type_symbol
_atom_site_fract_x
_atom_site_fract_y
_atom_site_fract_z
Zn1 Zn 0.1505 0.3495 0.0000
Cr1 Cr 0.1708 0.6708 0.5000
O1 O 0.0000 0.0000 0.0000
# - M_tot: 9.47 μB/f.u.
# - ΔE to the lowest computed polymorph: 0.0 kJ/mol of formula units